{
  "formula": "SrMgSi2S6",
  "functional": "GGA-PBE",
  "state": "optimized geometry",
  "e_tot_ev_per_atom": -4.9368,
  "e_form_raw_kj_per_mol_atoms": -101,
  "crystal_system": "monoclinic",
  "lattice_angstrom": [[6.319, -6.640, 0.000], [6.319, 6.640, 0.000], [-1.686, 0.000, 5.984]],
  "species": ["Sr", "Sr", "Mg", "Mg", "Si", "Si", "Si", "Si", "S", "S", "S", "S", "S", "S", "S", "S", "S", "S", "S", "S"],
  "frac_coords": [[0.124, 0.876, 0.750], [0.876, 0.124, 0.250], [0.395, 0.605, 0.250], [0.605, 0.395, 0.750], [0.213, 0.375, 0.796], [0.375, 0.213, 0.296], [0.625, 0.787, 0.704], [0.787, 0.625, 0.204], [0.047, 0.204, 0.712], [0.173, 0.589, 0.948], [0.204, 0.047, 0.212], [0.323, 0.414, 0.516], [0.411, 0.827, 0.552], [0.414, 0.323, 0.016], [0.586, 0.677, 0.984], [0.589, 0.173, 0.448], [0.677, 0.586, 0.484], [0.796, 0.953, 0.788], [0.827, 0.411, 0.052], [0.953, 0.796, 0.288]]
}


{
  "formula": "ZrTi2Tl2",
  "functional": "GGA-PBE",
  "state": "optimized geometry",
  "delta_e_f_ev_per_atom": 0.211,
  "e_tot_ev_per_atom": -5.6035,
  "e_above_lowest_polymorph_ev_per_atom": 0.107,
  "crystal_system": "tetragonal",
  "lattice_angstrom": [[3.948, 0.000, 0.000], [0.000, 3.948, 0.000], [0.000, 0.000, 13.851]],
  "species": ["Zr", "Zr", "Ti", "Ti", "Ti", "Ti", "Tl", "Tl", "Tl", "Tl"],
  "frac_coords": [[0.000, 0.000, 0.000], [0.500, 0.500, 0.500], [0.000, 0.500, 0.250], [0.000, 0.500, 0.750], [0.500, 0.000, 0.250], [0.500, 0.000, 0.750], [0.000, 0.000, 0.398], [0.000, 0.000, 0.602], [0.500, 0.500, 0.102], [0.500, 0.500, 0.898]]
}


{
  "formula": "YF",
  "functional": "GGA-PBE",
  "state": "optimized geometry",
  "e_tot_ev_per_atom": -6.5518,
  "e_above_lowest_polymorph_ev_per_atom": 0.206,
  "e_form_raw_kj_per_mol_atoms": -230,
  "crystal_system": "tetragonal",
  "lattice_angstrom": [[9.744, 0.000, 0.000], [0.000, 9.744, 0.000], [0.000, 0.000, 3.752]],
  "species": ["Y", "Y", "Y", "Y", "Y", "Y", "Y", "Y", "F", "F", "F", "F", "F", "F", "F", "F"],
  "frac_coords": [[0.066, 0.288, 0.000], [0.212, 0.566, 0.500], [0.288, 0.934, 0.000], [0.434, 0.212, 0.500], [0.566, 0.788, 0.500], [0.712, 0.066, 0.000], [0.788, 0.434, 0.500], [0.934, 0.712, 0.000], [0.163, 0.730, 0.000], [0.230, 0.337, 0.500], [0.270, 0.163, 0.000], [0.337, 0.770, 0.500], [0.663, 0.230, 0.500], [0.730, 0.837, 0.000], [0.770, 0.663, 0.500], [0.837, 0.270, 0.000]]
}


{
  "formula": "CsCaAlPd2",
  "functional": "GGA-PBE",
  "state": "optimized geometry",
  "delta_e_f_ev_per_atom": 0.285,
  "e_tot_ev_per_atom": -3.1112,
  "crystal_system": "tetragonal",
  "lattice_angstrom": [[4.935, 0.000, 0.000], [0.000, 4.935, 0.000], [0.000, 0.000, 5.772]],
  "species": ["Cs", "Ca", "Al", "Pd", "Pd"],
  "frac_coords": [[0.000, 0.000, 0.000], [0.500, 0.500, 0.000], [0.000, 0.000, 0.500], [0.000, 0.500, 0.500], [0.500, 0.000, 0.500]]
}


{
  "formula": "Be2InCu",
  "functional": "GGA-PBE",
  "state": "optimized geometry",
  "delta_e_f_ev_per_atom": 0.299,
  "e_tot_ev_per_atom": -3.2729,
  "crystal_system": "tetragonal",
  "lattice_angstrom": [[2.943, 0.000, 0.000], [0.000, 2.943, 0.000], [0.000, 0.000, 6.082]],
  "species": ["Be", "Be", "In", "Cu"],
  "frac_coords": [[0.000, 0.000, 0.183], [0.000, 0.000, 0.817], [0.500, 0.500, 0.500], [0.500, 0.500, 0.000]]
}


{
  "formula": "Mn2PtPb",
  "functional": "GGA-PBE",
  "state": "optimized geometry",
  "delta_e_f_ev_per_atom": 0.175,
  "e_tot_ev_per_atom": -6.8470,
  "crystal_system": "tetragonal",
  "lattice_angstrom": [[3.457, 0.000, 0.000], [0.000, 3.457, 0.000], [0.000, 0.000, 6.050]],
  "species": ["Mn", "Mn", "Pt", "Pb"],
  "frac_coords": [[0.000, 0.000, 0.000], [0.500, 0.500, 0.232], [0.500, 0.500, 0.804], [0.000, 0.000, 0.508]]
}


{
  "formula": "Na3BePd",
  "functional": "GGA-PBE",
  "state": "optimized geometry",
  "delta_e_f_ev_per_atom": 0.775,
  "e_tot_ev_per_atom": -1.8000,
  "e_above_lowest_polymorph_ev_per_atom": 0.118,
  "crystal_system": "cubic",
  "lattice_angstrom": [[5.150, 0.000, 0.000], [0.000, 5.150, 0.000], [0.000, 0.000, 5.150]],
  "species": ["Na", "Na", "Na", "Be", "Pd"],
  "frac_coords": [[0.000, 0.000, 0.500], [0.000, 0.500, 0.000], [0.500, 0.000, 0.000], [0.000, 0.000, 0.000], [0.500, 0.500, 0.500]]
}


{
  "formula": "Tb3NdDyEr",
  "functional": "GGA-PBE",
  "state": "optimized geometry",
  "delta_e_f_ev_per_atom": 0.019,
  "e_tot_ev_per_atom": -4.6187,
  "crystal_system": "monoclinic",
  "lattice_angstrom": [[5.039, 0.000, 0.000], [0.000, 10.103, 0.000], [-2.511, 0.000, 7.569]],
  "species": ["Tb", "Tb", "Tb", "Tb", "Tb", "Tb", "Nd", "Nd", "Dy", "Dy", "Er", "Er"],
  "frac_coords": [[0.167, 0.000, 0.334], [0.167, 0.500, 0.334], [0.332, 0.250, 0.664], [0.668, 0.750, 0.336], [0.833, 0.000, 0.666], [0.833, 0.500, 0.666], [0.000, 0.250, 0.001], [0.000, 0.750, 0.999], [0.500, 0.000, 0.000], [0.500, 0.500, 0.000], [0.332, 0.750, 0.665], [0.668, 0.250, 0.335]]
}


What is the formula in the fourth record? CsCaAlPd2